1.
AcPrBi2 after structural relaxation, computed with PBE-GGA.

Unit cell a=4.7040 b=4.7040 c=24.4553 alpha=90.00 beta=90.00 gamma=120.00
Space group R3m (No. 160, hexagonal axes)
Inequivalent atoms, fractional coordinates:
Ac1 0.0000 0.0000 0.0000
Pr1 0.0000 0.0000 0.8293
Bi1 0.0000 0.0000 0.4174
Bi2 0.0000 0.0000 0.5784

Summary:
The value obtained for the relative energy among the computed polymorphs is 114 meV per atom. The value obtained for the density is 8.354 Mg/m³.

***

2.
AcPr3Bi3 after structural relaxation, computed with PBE-GGA.

Unit cell a=9.7388 b=9.7388 c=19.5397 alpha=90.00 beta=90.00 gamma=120.00
Space group R-3 (No. 148, hexagonal axes)
Inequivalent atoms, fractional coordinates:
Ac1 0.0000 0.0000 0.1662
Pr1 0.0033 0.2670 0.5858
Bi1 0.0036 0.3793 0.4177

Summary:
The value obtained for the relative energy among the computed polymorphs is 110 meV per atom. The value obtained for the density is 7.925 Mg/m³.

***

3.
AcPrBi2 after structural relaxation, computed with PBE-GGA.

Unit cell a=6.164 b=6.164 c=3.576 alpha=90.00 beta=90.00 gamma=90.00
Space group P4/mmm (No. 123)
Inequivalent atoms, fractional coordinates:
Ac1 0.000 0.000 0.000
Pr1 0.500 0.500 0.000
Bi1 0.000 0.500 0.500

Summary:
The value obtained for the relative energy among the computed polymorphs is 211 meV per atom. The value obtained for the density is 9.604 Mg/m³.

***

4.
Ac2PrBi after structural relaxation, computed with PBE-GGA.

Unit cell a=4.2589 b=4.2589 c=35.3140 alpha=90.00 beta=90.00 gamma=120.00
Space group R-3m (No. 166, hexagonal axes)
Inequivalent atoms, fractional coordinates:
Ac1 0.0000 0.0000 0.1037
Pr1 0.0000 0.0000 0.0000
Bi1 0.0000 0.0000 0.5000

Summary:
The value obtained for the relative energy among the computed polymorphs is 428 meV per atom. The value obtained for the density is 7.219 Mg/m³.

***

V / A^3/atom: 39.053, 38.213, 33.969, 46.225
M_tot / Bohr magnetons per cell: 0.00, 0.00, 0.01, 3.94
Formation energy from the elements / kJ per mole of atoms: -83.0, -69.2, -73.6, 3.7